Record 1
# Li3La2ZnPd12

Crystalline Li3La2ZnPd12 at its relaxed geometry (GGA-PBE, Alexandria via LeMat-Bulk).

Computed properties:
* energy: -4.73 eV per atom
* space group: R-3m
* energy of formation from the pure elements: -0.333 eV per atom
* crystal system: trigonal
* total moment: 0.0 μB/f.u.
* DOS(E_F): 3.3 states/eV/cell

a = 10.353 Å, b = 10.353 Å, c = 10.353 Å
α = 35.20°, β = 35.20°, γ = 35.20°
Atoms (fractional coordinates):
Zn: 0.000 0.000 0.000
Pd: 0.599 0.168 0.599
Pd: 0.585 0.127 0.127
Pd: 0.168 0.599 0.599
Pd: 0.832 0.401 0.401
Pd: 0.401 0.401 0.832
Pd: 0.127 0.127 0.585
Pd: 0.415 0.873 0.873
Pd: 0.873 0.415 0.873
Pd: 0.401 0.832 0.401
Pd: 0.873 0.873 0.415
Pd: 0.599 0.599 0.168
Pd: 0.127 0.585 0.127
La: 0.368 0.368 0.368
La: 0.632 0.632 0.632
Li: 0.000 0.000 0.500
Li: 0.500 0.000 0.000
Li: 0.000 0.500 0.000

Record 2
# MgU2Ni9

Crystalline MgU2Ni9 at its relaxed geometry (GGA-PBE, Alexandria via LeMat-Bulk).

Computed properties:
* energy: -6.53 eV per atom
* space group: P4/mmm
* energy above the lowest structure with this stoichiometry: 21 meV/atom
* energy of formation from the pure elements: -0.176 eV per atom
* crystal system: tetragonal
* total moment: 2.1 μB/f.u.
* DOS(E_F): 13.5 states/eV/cell

a = 3.811 Å, b = 3.811 Å, c = 11.097 Å
α = 90.00°, β = 90.00°, γ = 90.00°
Site moments in Bohr magnetons follow the coordinates.
Atoms (fractional coordinates):
Ni: 0.000 0.500 0.162  -0.04
Ni: 0.500 0.000 0.838  -0.04
Ni: 0.500 0.000 0.500  -0.02
Ni: 0.000 0.500 0.838  -0.04
Ni: 0.500 0.000 0.162  -0.04
Ni: 0.500 0.500 0.330  -0.02
Ni: 0.000 0.500 0.500  -0.02
Ni: 0.500 0.500 0.670  -0.02
Ni: 0.500 0.500 0.000  -0.04
U: 0.000 0.000 0.323  1.15
U: 0.000 0.000 0.677  1.15
Mg: 0.000 0.000 0.000  0.00

Record 3
# MgCr2Te

Crystalline MgCr2Te at its relaxed geometry (GGA-PBE, Alexandria via LeMat-Bulk).

Computed properties:
* energy: -5.38 eV per atom
* space group: I-42d
* energy above the lowest structure with this stoichiometry: 343 meV/atom
* crystal system: tetragonal
* energy relative to the elements, uncorrected: 612 meV per atom
* total moment: 8.3 μB/f.u.
* DOS(E_F): 5.9 states/eV/cell

a = 4.358 Å, b = 4.358 Å, c = 9.980 Å
α = 77.39°, β = 77.39°, γ = 90.00°
Site moments in Bohr magnetons follow the coordinates.
Atoms (fractional coordinates):
Mg: 0.250 0.750 0.500  -0.03
Mg: 0.500 0.500 0.000  -0.03
Te: 0.750 0.250 0.500  -0.08
Te: 0.000 0.000 0.000  -0.08
Cr: 0.375 0.365 0.750  3.70
Cr: 0.115 0.625 0.250  3.71
Cr: 0.875 0.885 0.750  3.70
Cr: 0.635 0.125 0.250  3.73